VASP calculation (PBE) on crystalline InSiS2 at its relaxed geometry.

The electronic total energy is -4.068 eV/atom.

The space group is R-3m (No. 166, hexagonal axes) and the conventional cell measures 3.7375, 3.7375 and 23.5149 Å, with angles of 90.00, 90.00 and 120.00 degrees. The distinct sites, in fractional coordinates, are In at (0.0000, 0.0000, 0.0000), Si at (0.0000, 0.0000, 0.5000) and S at (0.0000, 0.0000, 0.3974).